Entry 1:
Here is a geometry-optimized Sc2Tc2Te structure from Alexandria. Energies are from PBE.

abc: 4.315 4.315 6.424
angles: 70.38 70.38 90.00
Last column: magnetic moment on the atom in μB.
Element x y z (fractional)
Sc1 0.750 0.250 0.500  0.10
Sc2 0.250 0.750 0.500  0.10
Te1 0.000 0.000 0.000  0.00
Tc1 0.399 0.399 0.203  0.35
Tc2 0.601 0.601 0.797  0.35

ΔE_f (raw) in eV per atom: 0.495
Space group: I4/mmm, No. 139
Polymorph energy (0 for the lowest one) in eV per atom: 0.6861
Magnetic moment in μB per cell: 1.09

---

Entry 2:
Here is a geometry-optimized H8Rh2Pb structure from Alexandria. Energies are from PBE.

abc: 3.773 5.125 5.125
angles: 115.11 90.13 90.13
Element x y z (fractional)
H1 0.997 0.967 0.662
H2 0.997 0.662 0.967
H3 0.228 0.502 0.502
H4 0.500 0.687 0.313
H5 0.500 0.313 0.687
H6 0.772 0.498 0.498
H7 0.003 0.338 0.033
H8 0.003 0.033 0.338
Rh1 0.000 0.322 0.678
Rh2 0.000 0.678 0.322
Pb1 0.500 0.000 0.000

Space group: C2/m, No. 12
Magnetic moment in μB per cell: 0.00
Calculated total energy in eV per cell: -44.4

---

Entry 3:
Here is a geometry-optimized AsH2Se2 structure from Alexandria. Energies are from PBE.

abc: 7.430 7.430 3.298
angles: 90.00 90.00 90.00
Element x y z (fractional)
H1 0.133 0.633 0.500
H2 0.633 0.867 0.500
H3 0.867 0.367 0.500
H4 0.367 0.133 0.500
As1 0.000 0.000 0.000
As2 0.500 0.500 0.000
Se1 0.190 0.690 0.000
Se2 0.690 0.810 0.000
Se3 0.810 0.310 0.000
Se4 0.310 0.190 0.000

Space group: P4/mbm, No. 127
Magnetic moment in μB per cell: 0.00
Calculated total energy in eV per cell: -34.4

---

Entry 4:
Here is a geometry-optimized Sb2MoSe structure from Alexandria. Energies are from PBE.

abc: 4.853 3.950 4.950
angles: 73.93 90.00 90.00
Element x y z (fractional)
Mo1 0.500 0.680 0.716
Sb1 0.000 0.953 0.945
Sb2 0.500 0.296 0.293
Se1 0.000 0.571 0.545

ΔE_f (raw) in eV per atom: 0.277
Space group: Pm, No. 6
Magnetic moment in μB per cell: 0.00